The following is a GGA-PBE calculation of a relaxed LiYHfPd crystal, from the Open Quantum Materials Database.

Calculated values
As for the crystal system: cubic. The energy above the most stable polymorph in this dataset is 0.0000 eV per atom. As for the space-group type: F-43m (216).

The structure in POSCAR format:
```
LiYHfPd
1.0
6.856 0.000 0.000
0.000 6.856 0.000
0.000 0.000 6.856
Li Y Hf Pd
4 4 4 4
Direct
0.000 0.000 0.000 Li
0.000 0.500 0.500 Li
0.500 0.000 0.500 Li
0.500 0.500 0.000 Li
0.250 0.250 0.750 Y
0.250 0.750 0.250 Y
0.750 0.250 0.250 Y
0.750 0.750 0.750 Y
0.250 0.250 0.250 Hf
0.250 0.750 0.750 Hf
0.750 0.250 0.750 Hf
0.750 0.750 0.250 Hf
0.000 0.000 0.500 Pd
0.000 0.500 0.000 Pd
0.500 0.000 0.000 Pd
0.500 0.500 0.500 Pd
```

The following is a GGA-PBE calculation of a relaxed LiHf2Pt crystal, from the Open Quantum Materials Database.

Calculated values
As for the final energy: -114.3 eV/cell. As for the crystal system: cubic. As for the space-group type: F-43m (216).

The structure in POSCAR format:
```
LiHf2Pt
1.0
6.551 0.000 0.000
0.000 6.551 0.000
0.000 0.000 6.551
Li Hf Pt
4 8 4
Direct
0.000 0.000 0.000 Li
0.000 0.500 0.500 Li
0.500 0.000 0.500 Li
0.500 0.500 0.000 Li
0.000 0.000 0.500 Hf
0.000 0.500 0.000 Hf
0.250 0.250 0.750 Hf
0.250 0.750 0.250 Hf
0.500 0.000 0.000 Hf
0.500 0.500 0.500 Hf
0.750 0.250 0.250 Hf
0.750 0.750 0.750 Hf
0.250 0.250 0.250 Pt
0.250 0.750 0.750 Pt
0.750 0.250 0.750 Pt
0.750 0.750 0.250 Pt
```

The following is a GGA-PBE calculation of a relaxed Li2HfPt crystal, from the Open Quantum Materials Database.

Calculated values
As for the final energy: -86.8 eV/cell. As for the crystal system: cubic. As for the space-group type: F-43m (216).

The structure in POSCAR format:
```
Li2HfPt
1.0
6.317 0.000 0.000
0.000 6.317 0.000
0.000 0.000 6.317
Li Hf Pt
8 4 4
Direct
0.000 0.000 0.000 Li
0.000 0.500 0.500 Li
0.250 0.250 0.250 Li
0.250 0.750 0.750 Li
0.500 0.000 0.500 Li
0.500 0.500 0.000 Li
0.750 0.250 0.750 Li
0.750 0.750 0.250 Li
0.250 0.250 0.750 Hf
0.250 0.750 0.250 Hf
0.750 0.250 0.250 Hf
0.750 0.750 0.750 Hf
0.000 0.000 0.500 Pt
0.000 0.500 0.000 Pt
0.500 0.000 0.000 Pt
0.500 0.500 0.500 Pt
```

The following is a GGA-PBE calculation of a relaxed LiHfTlPt crystal, from the Open Quantum Materials Database.

Calculated values
As for the crystal system: cubic. The energy above the most stable polymorph in this dataset is 0.0000 eV per atom. As for the space-group type: F-43m (216).

The structure in POSCAR format:
```
LiHfTlPt
1.0
6.554 0.000 0.000
0.000 6.554 0.000
0.000 0.000 6.554
Li Hf Tl Pt
4 4 4 4
Direct
0.000 0.000 0.000 Li
0.000 0.500 0.500 Li
0.500 0.000 0.500 Li
0.500 0.500 0.000 Li
0.250 0.250 0.250 Hf
0.250 0.750 0.750 Hf
0.750 0.250 0.750 Hf
0.750 0.750 0.250 Hf
0.250 0.250 0.750 Tl
0.250 0.750 0.250 Tl
0.750 0.250 0.250 Tl
0.750 0.750 0.750 Tl
0.000 0.000 0.500 Pt
0.000 0.500 0.000 Pt
0.500 0.000 0.000 Pt
0.500 0.500 0.500 Pt
```

The following is a GGA-PBE calculation of a relaxed LiHfTlPt crystal, from the Open Quantum Materials Database.

Calculated values
As for the crystal system: cubic. The energy above the most stable polymorph in this dataset is 0.1124 eV per atom. As for the space-group type: F-43m (216).

The structure in POSCAR format:
```
LiHfTlPt
1.0
6.649 0.000 0.000
0.000 6.649 0.000
0.000 0.000 6.649
Li Hf Tl Pt
4 4 4 4
Direct
0.000 0.000 0.000 Li
0.000 0.500 0.500 Li
0.500 0.000 0.500 Li
0.500 0.500 0.000 Li
0.000 0.000 0.500 Hf
0.000 0.500 0.000 Hf
0.500 0.000 0.000 Hf
0.500 0.500 0.500 Hf
0.250 0.250 0.750 Tl
0.250 0.750 0.250 Tl
0.750 0.250 0.250 Tl
0.750 0.750 0.750 Tl
0.250 0.250 0.250 Pt
0.250 0.750 0.750 Pt
0.750 0.250 0.750 Pt
0.750 0.750 0.250 Pt
```

The following is a GGA-PBE calculation of a relaxed LiHfTlPt crystal, from the Open Quantum Materials Database.

Calculated values
As for the crystal system: cubic. The energy above the most stable polymorph in this dataset is 0.3815 eV per atom. As for the space-group type: F-43m (216).

The structure in POSCAR format:
```
LiHfTlPt
1.0
6.578 0.000 0.000
0.000 6.578 0.000
0.000 0.000 6.578
Li Hf Tl Pt
4 4 4 4
Direct
0.000 0.000 0.000 Li
0.000 0.500 0.500 Li
0.500 0.000 0.500 Li
0.500 0.500 0.000 Li
0.250 0.250 0.750 Hf
0.250 0.750 0.250 Hf
0.750 0.250 0.250 Hf
0.750 0.750 0.750 Hf
0.000 0.000 0.500 Tl
0.000 0.500 0.000 Tl
0.500 0.000 0.000 Tl
0.500 0.500 0.500 Tl
0.250 0.250 0.250 Pt
0.250 0.750 0.750 Pt
0.750 0.250 0.750 Pt
0.750 0.750 0.250 Pt
```

The following is a GGA-PBE calculation of a relaxed LiYHfPt crystal, from the Open Quantum Materials Database.

Calculated values
As for the crystal system: cubic. The energy above the most stable polymorph in this dataset is 0.1473 eV per atom. As for the space-group type: F-43m (216).

The structure in POSCAR format:
```
LiYHfPt
1.0
6.661 0.000 0.000
0.000 6.661 0.000
0.000 0.000 6.661
Li Y Hf Pt
4 4 4 4
Direct
0.000 0.000 0.000 Li
0.000 0.500 0.500 Li
0.500 0.000 0.500 Li
0.500 0.500 0.000 Li
0.250 0.250 0.750 Y
0.250 0.750 0.250 Y
0.750 0.250 0.250 Y
0.750 0.750 0.750 Y
0.000 0.000 0.500 Hf
0.000 0.500 0.000 Hf
0.500 0.000 0.000 Hf
0.500 0.500 0.500 Hf
0.250 0.250 0.250 Pt
0.250 0.750 0.750 Pt
0.750 0.250 0.750 Pt
0.750 0.750 0.250 Pt
```

The following is a GGA-PBE calculation of a relaxed LiYHfPt crystal, from the Open Quantum Materials Database.

Calculated values
As for the crystal system: cubic. The energy above the most stable polymorph in this dataset is 0.0000 eV per atom. As for the space-group type: F-43m (216).

The structure in POSCAR format:
```
LiYHfPt
1.0
6.813 0.000 0.000
0.000 6.813 0.000
0.000 0.000 6.813
Li Y Hf Pt
4 4 4 4
Direct
0.000 0.000 0.000 Li
0.000 0.500 0.500 Li
0.500 0.000 0.500 Li
0.500 0.500 0.000 Li
0.250 0.250 0.750 Y
0.250 0.750 0.250 Y
0.750 0.250 0.250 Y
0.750 0.750 0.750 Y
0.250 0.250 0.250 Hf
0.250 0.750 0.750 Hf
0.750 0.250 0.750 Hf
0.750 0.750 0.250 Hf
0.000 0.000 0.500 Pt
0.000 0.500 0.000 Pt
0.500 0.000 0.000 Pt
0.500 0.500 0.500 Pt
```

The following is a GGA-PBE calculation of a relaxed LiPuHf crystal, from the Open Quantum Materials Database.

Calculated values
As for the crystal system: cubic. The energy above the most stable polymorph in this dataset is 0.0000 eV per atom. As for the space-group type: F-43m (216).

The structure in POSCAR format:
```
LiPuHf
1.0
6.532 0.000 0.000
0.000 6.532 0.000
0.000 0.000 6.532
Li Pu Hf
4 4 4
Direct
0.000 0.000 0.000 Li
0.000 0.500 0.500 Li
0.500 0.000 0.500 Li
0.500 0.500 0.000 Li
0.250 0.250 0.250 Pu
0.250 0.750 0.750 Pu
0.750 0.250 0.750 Pu
0.750 0.750 0.250 Pu
0.250 0.250 0.750 Hf
0.250 0.750 0.250 Hf
0.750 0.250 0.250 Hf
0.750 0.750 0.750 Hf
```

The following is a GGA-PBE calculation of a relaxed RbLiHf crystal, from the Open Quantum Materials Database.

Calculated values
As for the crystal system: cubic. The energy above the most stable polymorph in this dataset is 0.3351 eV per atom. As for the space-group type: F-43m (216).

The structure in POSCAR format:
```
RbLiHf
1.0
7.554 0.000 0.000
0.000 7.554 0.000
0.000 0.000 7.554
Rb Li Hf
4 4 4
Direct
0.000 0.000 0.000 Rb
0.000 0.500 0.500 Rb
0.500 0.000 0.500 Rb
0.500 0.500 0.000 Rb
0.250 0.250 0.250 Li
0.250 0.750 0.750 Li
0.750 0.250 0.750 Li
0.750 0.750 0.250 Li
0.250 0.250 0.750 Hf
0.250 0.750 0.250 Hf
0.750 0.250 0.250 Hf
0.750 0.750 0.750 Hf
```

The following is a GGA-PBE calculation of a relaxed RbLiHf crystal, from the Open Quantum Materials Database.

Calculated values
As for the crystal system: cubic. The energy above the most stable polymorph in this dataset is 0.0000 eV per atom. As for the space-group type: F-43m (216).

The structure in POSCAR format:
```
RbLiHf
1.0
7.592 0.000 0.000
0.000 7.592 0.000
0.000 0.000 7.592
Rb Li Hf
4 4 4
Direct
0.000 0.000 0.000 Rb
0.000 0.500 0.500 Rb
0.500 0.000 0.500 Rb
0.500 0.500 0.000 Rb
0.250 0.250 0.750 Li
0.250 0.750 0.250 Li
0.750 0.250 0.250 Li
0.750 0.750 0.750 Li
0.000 0.000 0.500 Hf
0.000 0.500 0.000 Hf
0.500 0.000 0.000 Hf
0.500 0.500 0.500 Hf
```

The following is a GGA-PBE calculation of a relaxed RbLiHfS3 crystal, from the Open Quantum Materials Database.

Calculated values
As for the crystal system: monoclinic. The energy above the most stable polymorph in this dataset is 0.0013 eV per atom. As for the space-group type: P2_1/m (11).

The structure in POSCAR format:
```
RbLiHfS3
1.0
8.791 0.000 0.000
0.000 3.812 0.000
-3.338 0.000 8.646
Rb Li Hf S
2 2 2 6
Direct
0.218 0.250 0.257 Rb
0.782 0.750 0.743 Rb
0.077 0.250 0.600 Li
0.923 0.750 0.400 Li
0.324 0.750 0.843 Hf
0.676 0.250 0.157 Hf
0.141 0.250 0.870 S
0.214 0.750 0.558 S
0.470 0.750 0.147 S
0.530 0.250 0.853 S
0.786 0.250 0.442 S
0.859 0.750 0.130 S
```

The following is a GGA-PBE calculation of a relaxed RbLiHfS3 crystal, from the Open Quantum Materials Database.

Calculated values
As for the crystal system: orthorhombic. The energy above the most stable polymorph in this dataset is 0.0071 eV per atom. As for the space-group type: Cmcm (63).

The structure in POSCAR format:
```
RbLiHfS3
1.0
1.896 -7.288 0.000
1.896 7.288 0.000
0.000 0.000 9.943
Rb Li Hf S
2 2 2 6
Direct
0.239 0.761 0.750 Rb
0.761 0.239 0.250 Rb
0.040 0.960 0.250 Li
0.960 0.040 0.750 Li
0.500 0.500 0.000 Hf
0.500 0.500 0.500 Hf
0.116 0.884 0.044 S
0.116 0.884 0.456 S
0.449 0.551 0.250 S
0.551 0.449 0.750 S
0.884 0.116 0.544 S
0.884 0.116 0.956 S
```

The following is a GGA-PBE calculation of a relaxed RbLiHfS3 crystal, from the Open Quantum Materials Database.

Calculated values
As for the crystal system: orthorhombic. The energy above the most stable polymorph in this dataset is 0.0000 eV per atom. As for the space-group type: Pnma (62).

The structure in POSCAR format:
```
RbLiHfS3
1.0
14.829 0.000 0.000
0.000 3.817 0.000
0.000 0.000 10.235
Rb Li Hf S
4 4 4 12
Direct
0.231 0.250 0.024 Rb
0.269 0.750 0.524 Rb
0.731 0.250 0.476 Rb
0.769 0.750 0.976 Rb
0.014 0.750 0.090 Li
0.486 0.250 0.590 Li
0.514 0.750 0.410 Li
0.986 0.250 0.910 Li
0.012 0.250 0.335 Hf
0.488 0.750 0.835 Hf
0.512 0.250 0.165 Hf
0.988 0.750 0.665 Hf
0.075 0.750 0.869 S
0.087 0.250 0.568 S
0.118 0.750 0.267 S
0.382 0.250 0.767 S
0.413 0.750 0.068 S
0.425 0.250 0.369 S
0.575 0.750 0.631 S
0.587 0.250 0.932 S
0.618 0.750 0.233 S
0.882 0.250 0.733 S
0.913 0.750 0.432 S
0.925 0.250 0.131 S
```

The following is a GGA-PBE calculation of a relaxed LiHf2Re crystal, from the Open Quantum Materials Database.

Calculated values
As for the crystal system: cubic. The energy above the most stable polymorph in this dataset is 0.0000 eV per atom. As for the space-group type: Fm-3m (225).

The structure in POSCAR format:
```
LiHf2Re
1.0
6.547 0.000 0.000
0.000 6.547 0.000
0.000 0.000 6.547
Li Hf Re
4 8 4
Direct
0.000 0.000 0.000 Li
0.000 0.500 0.500 Li
0.500 0.000 0.500 Li
0.500 0.500 0.000 Li
0.250 0.250 0.250 Hf
0.250 0.250 0.750 Hf
0.250 0.750 0.250 Hf
0.250 0.750 0.750 Hf
0.750 0.250 0.250 Hf
0.750 0.250 0.750 Hf
0.750 0.750 0.250 Hf
0.750 0.750 0.750 Hf
0.000 0.000 0.500 Re
0.000 0.500 0.000 Re
0.500 0.000 0.000 Re
0.500 0.500 0.500 Re
```

The following is a GGA-PBE calculation of a relaxed LiHf2Re crystal, from the Open Quantum Materials Database.

Calculated values
As for the crystal system: hexagonal. The energy above the most stable polymorph in this dataset is 0.6432 eV per atom. As for the space-group type: P6_3/mmc (194).

The structure in POSCAR format:
```
LiHf2Re
1.0
4.339 0.000 0.000
-2.170 3.758 0.000
0.000 0.000 8.759
Li Hf Re
2 4 2
Direct
0.333 0.667 0.250 Li
0.667 0.333 0.750 Li
0.333 0.667 0.591 Hf
0.333 0.667 0.909 Hf
0.667 0.333 0.091 Hf
0.667 0.333 0.409 Hf
0.000 0.000 0.250 Re
0.000 0.000 0.750 Re
```

The following is a GGA-PBE calculation of a relaxed Li2HfRe crystal, from the Open Quantum Materials Database.

Calculated values
As for the final energy: -98.4 eV/cell. As for the crystal system: cubic. As for the space-group type: F-43m (216).

The structure in POSCAR format:
```
Li2HfRe
1.0
6.339 0.000 0.000
0.000 6.339 0.000
0.000 0.000 6.339
Li Hf Re
8 4 4
Direct
0.000 0.000 0.000 Li
0.000 0.500 0.500 Li
0.250 0.250 0.250 Li
0.250 0.750 0.750 Li
0.500 0.000 0.500 Li
0.500 0.500 0.000 Li
0.750 0.250 0.750 Li
0.750 0.750 0.250 Li
0.250 0.250 0.750 Hf
0.250 0.750 0.250 Hf
0.750 0.250 0.250 Hf
0.750 0.750 0.750 Hf
0.000 0.000 0.500 Re
0.000 0.500 0.000 Re
0.500 0.000 0.000 Re
0.500 0.500 0.500 Re
```

The following is a GGA-PBE calculation of a relaxed LiHf2Re crystal, from the Open Quantum Materials Database.

Calculated values
As for the crystal system: hexagonal. The energy above the most stable polymorph in this dataset is 0.6427 eV per atom. As for the space-group type: P6_3/mmc (194).

The structure in POSCAR format:
```
LiHf2Re
1.0
4.337 0.000 0.000
-2.169 3.756 0.000
0.000 0.000 10.489
Li Hf Re
2 4 2
Direct
0.333 0.667 0.250 Li
0.667 0.333 0.750 Li
0.333 0.667 0.591 Hf
0.333 0.667 0.909 Hf
0.667 0.333 0.091 Hf
0.667 0.333 0.409 Hf
0.000 0.000 0.000 Re
0.000 0.000 0.500 Re
```

The following is a GGA-PBE calculation of a relaxed LiHf2Re crystal, from the Open Quantum Materials Database.

Calculated values
As for the crystal system: cubic. The energy above the most stable polymorph in this dataset is 0.4731 eV per atom. As for the space-group type: F-43m (216).

The structure in POSCAR format:
```
LiHf2Re
1.0
6.512 0.000 0.000
0.000 6.512 0.000
0.000 0.000 6.512
Li Hf Re
4 8 4
Direct
0.000 0.000 0.000 Li
0.000 0.500 0.500 Li
0.500 0.000 0.500 Li
0.500 0.500 0.000 Li
0.000 0.000 0.500 Hf
0.000 0.500 0.000 Hf
0.250 0.250 0.750 Hf
0.250 0.750 0.250 Hf
0.500 0.000 0.000 Hf
0.500 0.500 0.500 Hf
0.750 0.250 0.250 Hf
0.750 0.750 0.750 Hf
0.250 0.250 0.250 Re
0.250 0.750 0.750 Re
0.750 0.250 0.750 Re
0.750 0.750 0.250 Re
```

The following is a GGA-PBE calculation of a relaxed LiHf2Re crystal, from the Open Quantum Materials Database.

Calculated values
As for the crystal system: hexagonal. The energy above the most stable polymorph in this dataset is 0.6145 eV per atom. As for the space-group type: P6_3/mmc (194).

The structure in POSCAR format:
```
LiHf2Re
1.0
4.769 0.000 0.000
-2.384 4.130 0.000
0.000 0.000 7.794
Li Hf Re
2 4 2
Direct
0.000 0.000 0.000 Li
0.000 0.000 0.500 Li
0.333 0.667 0.084 Hf
0.333 0.667 0.416 Hf
0.667 0.333 0.584 Hf
0.667 0.333 0.916 Hf
0.333 0.667 0.750 Re
0.667 0.333 0.250 Re
```